(1)
A crystal of Al2Ga2Sn relaxed with PBEsol. Source: Alexandria via LeMat-Bulk, functional meta-GGA SCAN.

a b c (Å): 2.913 8.050 8.050
angles (deg): 90.00 90.00 90.00
Fractional coordinates of all 10 atoms:
Sn: 0.000 0.000 0.000
Sn: 0.000 0.500 0.500
Ga: 0.000 0.340 0.840
Ga: 0.000 0.840 0.660
Ga: 0.000 0.660 0.160
Ga: 0.000 0.160 0.340
Al: 0.500 0.135 0.635
Al: 0.500 0.635 0.865
Al: 0.500 0.865 0.365
Al: 0.500 0.365 0.135

Energy above the lowest structure with this stoichiometry, eV per atom: 0.000
Formation energy, eV per formula unit: 0.533
Symmetry: No. 127

(2)
A crystal of Al2GaSn relaxed with PBEsol. Source: Alexandria via LeMat-Bulk, functional meta-GGA SCAN.

a b c (Å): 4.810 4.810 4.810
angles (deg): 60.00 60.00 60.00
Fractional coordinates of all 4 atoms:
Sn: 0.500 0.500 0.500
Ga: 0.000 0.000 0.000
Al: 0.250 0.250 0.250
Al: 0.750 0.750 0.750

Energy above the lowest structure with this stoichiometry, eV per atom: 0.000
Formation energy, eV per formula unit: 0.774
Symmetry: No. 225

(3)
A crystal of AlGaSn3 relaxed with PBEsol. Source: Alexandria via LeMat-Bulk, functional meta-GGA SCAN.

a b c (Å): 5.216 5.216 5.216
angles (deg): 90.00 90.00 90.00
Fractional coordinates of all 5 atoms:
Sn: 0.000 0.500 0.000
Sn: 0.000 0.000 0.500
Sn: 0.500 0.000 0.000
Ga: 0.000 0.000 0.000
Al: 0.500 0.500 0.500

Formation energy, eV per formula unit: 3.317
Symmetry: No. 221

(4)
A crystal of TaAl2Ga relaxed with PBEsol. Source: Alexandria via LeMat-Bulk, functional meta-GGA SCAN.

a b c (Å): 5.281 5.745 5.745
angles (deg): 77.80 62.64 62.64
Fractional coordinates of all 8 atoms:
Al: 0.875 0.975 0.525
Al: 0.375 0.025 0.475
Al: 0.600 0.525 0.025
Al: 0.150 0.475 0.975
Ga: 0.500 0.000 0.000
Ga: 0.250 0.500 0.500
Ta: 0.000 0.000 0.000
Ta: 0.750 0.500 0.500

Formation energy, eV per formula unit: 1.195
Symmetry: No. 122

(5)
A crystal of Al2GaTe relaxed with PBEsol. Source: Alexandria via LeMat-Bulk, functional meta-GGA SCAN.

a b c (Å): 6.078 6.078 7.306
angles (deg): 114.58 114.58 90.00
Fractional coordinates of all 8 atoms:
Te: 0.250 0.750 0.500
Te: 0.000 0.000 0.000
Al: 0.409 0.875 0.250
Al: 0.841 0.375 0.250
Al: 0.125 0.159 0.750
Al: 0.625 0.591 0.750
Ga: 0.750 0.250 0.500
Ga: 0.500 0.500 0.000

Raw formation energy, kJ/mol of formula units: 14
Symmetry: No. 122

(6)
A crystal of AlGaTe2 relaxed with PBEsol. Source: Alexandria via LeMat-Bulk, functional meta-GGA SCAN.

a b c (Å): 3.747 3.747 9.811
angles (deg): 78.99 78.99 60.00
Fractional coordinates of all 4 atoms:
Te: 0.892 0.892 0.324
Te: 0.108 0.108 0.676
Al: 0.500 0.500 0.500
Ga: 0.000 0.000 0.000

Raw formation energy, kJ/mol of formula units: 3
Symmetry: No. 166